1.
DFT (meta-GGA SCAN) results for POs2 at its PBEsol-relaxed geometry.

The space group is Cmcm (No. 63) and the conventional cell measures 2.8181, 12.7768 and 4.5800 Å, with angles of 90.00, 90.00 and 90.00 degrees. The asymmetric unit holds P at (0.0000, 0.1320, 0.2500), Os at (0.0000, 0.2060, 0.7500) and Os at (0.0000, 0.4684, 0.2500).

The mass density is 16.57 g/cm³. The formation energy is 0.316 eV per atom.



2.
DFT (meta-GGA SCAN) results for POs3 at its PBEsol-relaxed geometry.

The space group is P2/m (No. 10) and the conventional cell measures 2.7922, 3.8901 and 5.1370 Å, with angles of 90.00, 104.50 and 90.00 degrees. The asymmetric unit holds P at (0.0000, 0.0000, 0.0000), Os at (0.0000, 0.0000, 0.5000) and Os at (0.3625, 0.5000, 0.2355).

As for the relative energy among the computed polymorphs: 28 meV/atom. The mass density is 18.50 g/cm³. The formation energy is 0.190 eV per atom.



3.
DFT (meta-GGA SCAN) results for POs3 at its PBEsol-relaxed geometry.

The space group is Cmmm (No. 65) and the conventional cell measures 2.7605, 4.7838 and 8.4231 Å, with angles of 90.00, 90.00 and 90.00 degrees. The asymmetric unit holds P at (0.0000, 0.0000, 0.0000), Os at (0.0000, 0.0000, 0.5000) and Os at (0.0000, 0.5000, 0.2258).

As for the relative energy among the computed polymorphs: 551 meV/atom. The mass density is 17.96 g/cm³. The formation energy is 0.713 eV per atom.



4.
DFT (meta-GGA SCAN) results for POsPb2 at its PBEsol-relaxed geometry.

The space group is R3m (No. 160, hexagonal axes) and the conventional cell measures 3.9344, 3.9344 and 20.8461 Å, with angles of 90.00, 90.00 and 120.00 degrees. The asymmetric unit holds P at (0.0000, 0.0000, 0.0000), Os at (0.0000, 0.0000, 0.6658), Pb at (0.0000, 0.0000, 0.2352) and Pb at (0.0000, 0.0000, 0.4305).

The mass density is 11.33 g/cm³. The formation energy is -0.007 eV per atom.



| no. | magnetization (μB per formula unit) | total DFT energy (no corrections) (eV per atom) | D(E_F) (states/eV/f.u.) |
| --- | --- | --- | --- |
| 1 | 0.0 | -51.070 | 1.72 |
| 2 | 0.0 | -56.320 | 2.42 |
| 3 | 1.0 | -55.797 | 3.24 |
| 4 | 0.0 | -58.467 | 0.69 |